(1)
Density functional theory data (PBE) for crystalline TlGaBi4 at its relaxed geometry. Values from VASP.

```
&SYSTEM
  ibrav = 0, nat = 6, ntyp = 3
/
ATOMIC_SPECIES
Tl 204.38 Tl.upf
Ga 69.72 Ga.upf
Bi 208.98 Bi.upf
CELL_PARAMETERS angstrom
0.000 4.686 4.686
4.686 0.000 4.686
4.686 4.686 0.000
ATOMIC_POSITIONS angstrom
Tl 0.000 0.000 0.000
Ga 7.029 7.029 7.029
Bi 3.517 3.517 3.517
Bi 5.856 5.856 3.517
Bi 5.856 3.517 5.856
Bi 3.517 5.856 5.856
```

total magnetization = 0.000 μB/cell
formation energy from the elements = 1.03 eV/f.u.

(2)
Density functional theory data (PBE) for crystalline TlGaBi2 at its relaxed geometry. Values from VASP.

```
&SYSTEM
  ibrav = 0, nat = 8, ntyp = 3
/
ATOMIC_SPECIES
Tl 204.38 Tl.upf
Ga 69.72 Ga.upf
Bi 208.98 Bi.upf
CELL_PARAMETERS angstrom
-3.373 3.373 6.658
3.373 -3.373 6.658
3.373 3.373 -6.658
ATOMIC_POSITIONS angstrom
Tl 0.000 0.000 0.000
Tl 0.000 3.373 3.329
Ga 3.373 0.000 3.329
Ga 0.000 0.000 6.658
Bi 1.687 -1.492 4.993
Bi 1.881 1.687 1.664
Bi 1.687 4.865 -1.664
Bi 1.492 1.687 8.322
```

total magnetization = 0.000 μB/cell
ΔE to the lowest computed polymorph = 0.042 eV/atom
formation energy from the elements = 0.42 eV/f.u.

(3)
Density functional theory data (PBE) for crystalline Tl12GaBi6 at its relaxed geometry. Values from VASP.

```
&SYSTEM
  ibrav = 0, nat = 19, ntyp = 3
/
ATOMIC_SPECIES
Tl 204.38 Tl.upf
Ga 69.72 Ga.upf
Bi 208.98 Bi.upf
CELL_PARAMETERS angstrom
5.998 3.463 4.946
-5.998 3.463 4.946
0.000 -6.925 4.946
ATOMIC_POSITIONS angstrom
Tl -1.693 -5.387 6.243
Tl -5.512 -1.227 8.595
Tl -1.345 -1.451 4.595
Tl -3.819 4.160 6.243
Tl -0.584 1.890 4.595
Tl 1.929 -0.440 4.595
Tl -1.929 0.440 10.243
Tl 0.584 -1.890 10.243
Tl 3.819 -4.160 8.595
Tl 1.345 1.451 10.243
Tl 5.512 1.227 6.243
Tl 1.693 5.387 8.595
Ga 0.000 0.000 7.419
Bi -3.064 0.672 6.753
Bi -2.114 -2.317 8.084
Bi 0.950 -2.990 6.753
Bi -0.950 2.990 8.084
Bi 2.114 2.317 6.753
Bi 3.064 -0.672 8.084
```

total magnetization = 0.000 μB/cell
formation energy from the elements = 0.40 eV/f.u.

(4)
Density functional theory data (PBE) for crystalline TlGaBi at its relaxed geometry. Values from VASP.

```
&SYSTEM
  ibrav = 0, nat = 6, ntyp = 3
/
ATOMIC_SPECIES
Tl 204.38 Tl.upf
Ga 69.72 Ga.upf
Bi 208.98 Bi.upf
CELL_PARAMETERS angstrom
4.584 0.000 0.000
0.000 5.106 0.000
-2.307 0.000 7.460
ATOMIC_POSITIONS angstrom
Tl -0.020 1.276 1.129
Tl 2.297 3.829 6.331
Ga -0.016 3.829 3.820
Ga 2.293 1.276 3.640
Bi 0.005 1.276 5.546
Bi 2.273 3.829 1.914
```

total magnetization = 0.000 μB/cell
ΔE to the lowest computed polymorph = 0.000 eV/atom
formation energy from the elements = 0.03 eV/f.u.

(5)
Density functional theory data (PBE) for crystalline Tl12Ga5Bi3 at its relaxed geometry. Values from VASP.

```
&SYSTEM
  ibrav = 0, nat = 80, ntyp = 3
/
ATOMIC_SPECIES
Tl 204.38 Tl.upf
Ga 69.72 Ga.upf
Bi 208.98 Bi.upf
CELL_PARAMETERS angstrom
-8.808 8.808 8.808
8.808 -8.808 8.808
8.808 8.808 -8.808
ATOMIC_POSITIONS angstrom
Tl 2.583 -0.438 1.227
Tl 10.630 5.631 -4.842
Tl 8.370 -1.227 2.583
Tl 13.650 -1.822 3.178
Tl 11.391 0.438 1.227
Tl 10.630 -3.178 4.842
Tl 1.227 2.583 -0.438
Tl 11.986 3.966 -1.822
Tl 5.631 4.842 -1.822
Tl 7.582 2.583 0.438
Tl -0.438 1.227 2.583
Tl 4.842 -1.822 5.631
Tl 8.370 7.582 -2.583
Tl 4.842 1.822 3.178
Tl 7.582 -2.583 8.370
Tl 5.631 -4.842 10.630
Tl 3.178 4.842 1.822
Tl 10.035 6.226 0.438
Tl 2.583 8.370 -1.227
Tl 10.630 3.178 3.966
Tl 4.842 10.630 -3.178
Tl 8.370 1.227 6.226
Tl 1.822 3.178 4.842
Tl 2.583 0.438 7.582
Tl 6.226 8.370 1.227
Tl 6.987 5.631 3.966
Tl 0.438 7.582 2.583
Tl 3.966 -1.822 11.986
Tl -1.822 5.631 4.842
Tl 6.226 0.438 10.035
Tl -1.227 2.583 8.370
Tl 5.631 3.966 6.987
Tl 3.178 13.650 -1.822
Tl 1.227 11.391 0.438
Tl 3.966 6.987 5.631
Tl 0.438 1.227 11.391
Tl 3.966 10.630 3.178
Tl 9.246 7.582 6.226
Tl 1.227 6.226 8.370
Tl 3.178 3.966 10.630
Tl -3.178 4.842 10.630
Tl 7.582 6.226 9.246
Tl -1.822 11.986 3.966
Tl -2.583 8.370 7.582
Tl -4.842 10.630 5.631
Tl 0.438 10.035 6.226
Tl -1.822 3.178 13.650
Tl 6.226 9.246 7.582
Ga 0.000 0.000 0.000
Ga 4.404 4.404 -4.404
Ga 4.404 -4.404 4.404
Ga 8.808 0.000 0.000
Ga 13.212 2.202 0.000
Ga 8.808 -4.404 6.606
Ga 6.606 8.808 -4.404
Ga 6.606 0.000 4.404
Ga 4.404 6.606 0.000
Ga 8.808 4.404 2.202
Ga -4.404 4.404 4.404
Ga 0.000 8.808 0.000
Ga 0.000 0.000 8.808
Ga 4.404 4.404 4.404
Ga 0.000 4.404 6.606
Ga 4.404 2.202 8.808
Ga 2.202 8.808 4.404
Ga 2.202 0.000 13.212
Ga 0.000 13.212 2.202
Ga -4.404 6.606 8.808
Bi 4.404 2.202 0.000
Bi 8.808 4.404 -2.202
Bi 2.202 0.000 4.404
Bi 11.010 0.000 4.404
Bi 0.000 4.404 2.202
Bi 4.404 -2.202 8.808
Bi 4.404 11.010 0.000
Bi 8.808 4.404 6.606
Bi -2.202 8.808 4.404
Bi 6.606 8.808 4.404
Bi 0.000 4.404 11.010
Bi 4.404 6.606 8.808
```

total magnetization = 0.000 μB/cell
formation energy from the elements = 3.44 eV/f.u.

(6)
Density functional theory data (PBE) for crystalline Tl4GaBi3 at its relaxed geometry. Values from VASP.

```
&SYSTEM
  ibrav = 0, nat = 8, ntyp = 3
/
ATOMIC_SPECIES
Tl 204.38 Tl.upf
Ga 69.72 Ga.upf
Bi 208.98 Bi.upf
CELL_PARAMETERS angstrom
14.659 -2.465 0.000
14.659 2.465 0.000
-0.219 0.000 3.502
ATOMIC_POSITIONS angstrom
Tl 2.801 0.000 0.416
Tl 6.324 0.000 0.790
Tl 22.775 0.000 2.712
Tl 26.298 0.000 3.085
Ga -0.110 0.000 1.751
Bi 9.881 0.000 1.107
Bi 14.659 0.000 0.000
Bi 19.218 0.000 2.394
```

total magnetization = 0.000 μB/cell
formation energy from the elements = 0.48 eV/f.u.

(7)
Density functional theory data (PBE) for crystalline TlGa2Bi2 at its relaxed geometry. Values from VASP.

```
&SYSTEM
  ibrav = 0, nat = 10, ntyp = 3
/
ATOMIC_SPECIES
Tl 204.38 Tl.upf
Ga 69.72 Ga.upf
Bi 208.98 Bi.upf
CELL_PARAMETERS angstrom
9.057 0.000 0.000
0.000 9.057 0.000
0.000 0.000 3.443
ATOMIC_POSITIONS angstrom
Tl 0.000 0.000 0.000
Tl 4.529 4.529 0.000
Ga 1.336 3.193 1.721
Ga 3.193 7.722 1.721
Ga 5.864 1.336 1.721
Ga 7.722 5.864 1.721
Bi 1.331 5.859 0.000
Bi 3.198 1.331 0.000
Bi 5.859 7.727 0.000
Bi 7.727 3.198 0.000
```

total magnetization = 0.000 μB/cell
ΔE to the lowest computed polymorph = 0.032 eV/atom
formation energy from the elements = 0.33 eV/f.u.

(8)
Density functional theory data (PBE) for crystalline TlGa2Bi2 at its relaxed geometry. Values from VASP.

```
&SYSTEM
  ibrav = 0, nat = 5, ntyp = 3
/
ATOMIC_SPECIES
Tl 204.38 Tl.upf
Ga 69.72 Ga.upf
Bi 208.98 Bi.upf
CELL_PARAMETERS angstrom
-2.270 2.270 7.351
2.270 -2.270 7.351
2.270 2.270 -7.351
ATOMIC_POSITIONS angstrom
Tl 0.000 0.000 0.000
Ga 2.270 0.000 3.675
Ga 0.000 2.270 3.675
Bi 0.000 0.000 5.561
Bi 0.000 0.000 9.140
```

total magnetization = 0.000 μB/cell
ΔE to the lowest computed polymorph = 0.000 eV/atom
formation energy from the elements = 0.17 eV/f.u.

(9)
Density functional theory data (PBE) for crystalline Tl3GaBi at its relaxed geometry. Values from VASP.

```
&SYSTEM
  ibrav = 0, nat = 5, ntyp = 3
/
ATOMIC_SPECIES
Tl 204.38 Tl.upf
Ga 69.72 Ga.upf
Bi 208.98 Bi.upf
CELL_PARAMETERS angstrom
5.468 0.000 0.000
0.000 5.468 0.000
0.000 0.000 5.468
ATOMIC_POSITIONS angstrom
Tl 0.000 0.000 2.734
Tl 0.000 2.734 0.000
Tl 2.734 0.000 0.000
Ga 0.000 0.000 0.000
Bi 2.734 2.734 2.734
```

total magnetization = 0.000 μB/cell
ΔE to the lowest computed polymorph = 0.196 eV/atom
formation energy from the elements = 1.22 eV/f.u.

(10)
Density functional theory data (PBE) for crystalline TlGa2Bi at its relaxed geometry. Values from VASP.

```
&SYSTEM
  ibrav = 0, nat = 4, ntyp = 3
/
ATOMIC_SPECIES
Tl 204.38 Tl.upf
Ga 69.72 Ga.upf
Bi 208.98 Bi.upf
CELL_PARAMETERS angstrom
3.648 0.000 0.000
0.000 3.648 0.000
0.000 0.000 7.802
ATOMIC_POSITIONS angstrom
Tl 0.000 0.000 0.000
Ga 1.824 1.824 2.021
Ga 1.824 1.824 5.780
Bi 0.000 0.000 3.901
```

total magnetization = 0.000 μB/cell
ΔE to the lowest computed polymorph = 0.048 eV/atom
formation energy from the elements = 0.35 eV/f.u.

(11)
Density functional theory data (PBE) for crystalline TlGaBi at its relaxed geometry. Values from VASP.

```
&SYSTEM
  ibrav = 0, nat = 12, ntyp = 3
/
ATOMIC_SPECIES
Tl 204.38 Tl.upf
Ga 69.72 Ga.upf
Bi 208.98 Bi.upf
CELL_PARAMETERS angstrom
7.887 0.000 0.000
0.000 5.508 0.000
0.000 0.000 8.163
ATOMIC_POSITIONS angstrom
Tl 0.084 1.377 1.531
Tl 3.859 4.131 5.613
Tl 4.028 1.377 2.550
Tl 7.802 4.131 6.632
Ga 1.289 4.131 3.609
Ga 2.654 1.377 7.690
Ga 5.232 4.131 0.473
Ga 6.598 1.377 4.554
Bi 1.634 1.377 4.925
Bi 2.309 4.131 0.844
Bi 5.577 1.377 7.319
Bi 6.253 4.131 3.238
```

total magnetization = 0.000 μB/cell
ΔE to the lowest computed polymorph = 0.004 eV/atom
formation energy from the elements = 0.04 eV/f.u.

(12)
Density functional theory data (PBE) for crystalline TlGaBi2 at its relaxed geometry. Values from VASP.

```
&SYSTEM
  ibrav = 0, nat = 4, ntyp = 3
/
ATOMIC_SPECIES
Tl 204.38 Tl.upf
Ga 69.72 Ga.upf
Bi 208.98 Bi.upf
CELL_PARAMETERS angstrom
4.751 0.000 0.000
0.000 4.751 0.000
0.000 0.000 5.260
ATOMIC_POSITIONS angstrom
Tl 0.000 0.000 0.000
Ga 2.376 2.376 0.000
Bi 0.000 2.376 2.630
Bi 2.376 0.000 2.630
```

total magnetization = 0.000 μB/cell
ΔE to the lowest computed polymorph = 0.000 eV/atom
formation energy from the elements = 0.25 eV/f.u.

(13)
Density functional theory data (PBE) for crystalline Tl3GaBi at its relaxed geometry. Values from VASP.

```
&SYSTEM
  ibrav = 0, nat = 5, ntyp = 3
/
ATOMIC_SPECIES
Tl 204.38 Tl.upf
Ga 69.72 Ga.upf
Bi 208.98 Bi.upf
CELL_PARAMETERS angstrom
6.075 0.000 0.000
0.000 6.075 0.000
0.000 0.000 6.075
ATOMIC_POSITIONS angstrom
Tl 0.000 0.000 3.037
Tl 0.000 3.037 0.000
Tl 3.037 0.000 0.000
Ga 3.037 3.037 3.037
Bi 0.000 0.000 0.000
```

total magnetization = 0.000 μB/cell
ΔE to the lowest computed polymorph = 0.511 eV/atom
formation energy from the elements = 2.80 eV/f.u.

(14)
Density functional theory data (PBE) for crystalline TlGa2Bi2 at its relaxed geometry. Values from VASP.

```
&SYSTEM
  ibrav = 0, nat = 5, ntyp = 3
/
ATOMIC_SPECIES
Tl 204.38 Tl.upf
Ga 69.72 Ga.upf
Bi 208.98 Bi.upf
CELL_PARAMETERS angstrom
-2.545 2.545 5.696
2.545 -2.545 5.696
2.545 2.545 -5.696
ATOMIC_POSITIONS angstrom
Tl 0.000 0.000 0.000
Ga 0.000 0.000 4.433
Ga 0.000 0.000 6.959
Bi 2.545 0.000 2.848
Bi 0.000 2.545 2.848
```

total magnetization = 0.000 μB/cell
ΔE to the lowest computed polymorph = 0.026 eV/atom
formation energy from the elements = 0.30 eV/f.u.

(15)
Density functional theory data (PBE) for crystalline Tl3Ga2Bi4 at its relaxed geometry. Values from VASP.

```
&SYSTEM
  ibrav = 0, nat = 18, ntyp = 3
/
ATOMIC_SPECIES
Tl 204.38 Tl.upf
Ga 69.72 Ga.upf
Bi 208.98 Bi.upf
CELL_PARAMETERS angstrom
7.987 -4.776 0.000
7.987 4.776 0.000
-0.008 0.000 7.156
ATOMIC_POSITIONS angstrom
Tl 7.981 4.763 5.367
Tl 5.287 0.128 5.337
Tl 5.291 -0.128 1.759
Tl 10.675 0.128 5.397
Tl 10.679 -0.128 1.819
Tl 7.985 -4.763 1.789
Ga 2.829 1.630 0.245
Ga 2.825 -1.630 3.823
Ga 13.141 1.630 3.333
Ga 13.137 -1.630 6.911
Bi 2.664 1.438 3.250
Bi 7.814 1.688 0.215
Bi 2.660 -1.438 6.828
Bi 8.156 1.688 3.363
Bi 7.810 -1.688 3.793
Bi 13.306 1.438 0.328
Bi 8.151 -1.688 6.941
Bi 13.302 -1.438 3.906
```

total magnetization = 0.000 μB/cell
formation energy from the elements = 0.30 eV/f.u.

(16)
Density functional theory data (PBE) for crystalline TlGaBi2 at its relaxed geometry. Values from VASP.

```
&SYSTEM
  ibrav = 0, nat = 4, ntyp = 3
/
ATOMIC_SPECIES
Tl 204.38 Tl.upf
Ga 69.72 Ga.upf
Bi 208.98 Bi.upf
CELL_PARAMETERS angstrom
3.496 -2.022 0.000
3.496 2.022 0.000
-2.351 0.000 8.578
ATOMIC_POSITIONS angstrom
Tl 0.000 0.000 0.000
Ga -0.015 0.000 4.291
Bi 2.320 0.000 6.073
Bi 4.636 0.000 2.528
```

total magnetization = 0.000 μB/cell
ΔE to the lowest computed polymorph = 0.046 eV/atom
formation energy from the elements = 0.44 eV/f.u.

(17)
Density functional theory data (PBE) for crystalline Tl3Ga12Bi5 at its relaxed geometry. Values from VASP.

```
&SYSTEM
  ibrav = 0, nat = 80, ntyp = 3
/
ATOMIC_SPECIES
Tl 204.38 Tl.upf
Ga 69.72 Ga.upf
Bi 208.98 Bi.upf
CELL_PARAMETERS angstrom
-8.406 8.406 8.406
8.406 -8.406 8.406
8.406 8.406 -8.406
ATOMIC_POSITIONS angstrom
Tl 4.203 2.101 0.000
Tl 8.406 4.203 -2.101
Tl 2.101 0.000 4.203
Tl 10.507 0.000 4.203
Tl 0.000 4.203 2.101
Tl 4.203 -2.101 8.406
Tl 4.203 10.507 0.000
Tl 8.406 4.203 6.304
Tl -2.101 8.406 4.203
Tl 6.304 8.406 4.203
Tl 0.000 4.203 10.507
Tl 4.203 6.304 8.406
Ga 2.612 -0.180 1.385
Ga 9.996 5.588 -4.383
Ga 8.225 -1.385 2.612
Ga 12.789 -1.591 2.817
Ga 11.018 0.180 1.385
Ga 9.996 -2.817 4.383
Ga 1.385 2.612 -0.180
Ga 11.223 4.023 -1.591
Ga 5.588 4.383 -1.591
Ga 7.020 2.612 0.180
Ga -0.180 1.385 2.612
Ga 4.383 -1.591 5.588
Ga 8.225 7.020 -2.612
Ga 4.383 1.591 2.817
Ga 7.020 -2.612 8.225
Ga 5.588 -4.383 9.996
Ga 2.817 4.383 1.591
Ga 9.791 5.793 0.180
Ga 2.612 8.225 -1.385
Ga 9.996 2.817 4.023
Ga 4.383 9.996 -2.817
Ga 8.225 1.385 5.793
Ga 1.591 2.817 4.383
Ga 2.612 0.180 7.020
Ga 5.793 8.225 1.385
Ga 6.815 5.588 4.023
Ga 0.180 7.020 2.612
Ga 4.023 -1.591 11.223
Ga -1.591 5.588 4.383
Ga 5.793 0.180 9.791
Ga -1.385 2.612 8.225
Ga 5.588 4.023 6.815
Ga 2.817 12.789 -1.591
Ga 1.385 11.018 0.180
Ga 4.023 6.815 5.588
Ga 0.180 1.385 11.018
Ga 4.023 9.996 2.817
Ga 8.586 7.020 5.793
Ga 1.385 5.793 8.225
Ga 2.817 4.023 9.996
Ga -2.817 4.383 9.996
Ga 7.020 5.793 8.586
Ga -1.591 11.223 4.023
Ga -2.612 8.225 7.020
Ga -4.383 9.996 5.588
Ga 0.180 9.791 5.793
Ga -1.591 2.817 12.789
Ga 5.793 8.586 7.020
Bi 0.000 0.000 0.000
Bi 4.203 4.203 -4.203
Bi 4.203 -4.203 4.203
Bi 8.406 0.000 0.000
Bi 12.608 2.101 0.000
Bi 8.406 -4.203 6.304
Bi 6.304 8.406 -4.203
Bi 6.304 0.000 4.203
Bi 4.203 6.304 0.000
Bi 8.406 4.203 2.101
Bi -4.203 4.203 4.203
Bi 0.000 8.406 0.000
Bi 0.000 0.000 8.406
Bi 4.203 4.203 4.203
Bi 0.000 4.203 6.304
Bi 4.203 2.101 8.406
Bi 2.101 8.406 4.203
Bi 2.101 0.000 12.608
Bi 0.000 12.608 2.101
Bi -4.203 6.304 8.406
```

total magnetization = 0.000 μB/cell
formation energy from the elements = 4.07 eV/f.u.